# 1
Compound: Ta5Cr4Ru
Source: Alexandria via LeMat-Bulk
Functional: PBE-GGA
Structure: optimized geometry

Geometry as POSCAR:
```
Ta5Cr4Ru
1.0
3.1077 0.0000 0.0000
0.0000 3.1077 0.0000
0.0000 0.0000 15.6232
Ta Cr Ru
5 4 1
direct
0.0000 0.0000 0.0000 Ta
0.0000 0.0000 0.1986 Ta
0.0000 0.0000 0.3943 Ta
0.0000 0.0000 0.6057 Ta
0.0000 0.0000 0.8014 Ta
0.5000 0.5000 0.0989 Cr
0.5000 0.5000 0.2985 Cr
0.5000 0.5000 0.7015 Cr
0.5000 0.5000 0.9011 Cr
0.5000 0.5000 0.5000 Ru
```

symmetry: P4/mmm
crystal system: tetragonal
formation energy: -1.46 eV per formula unit


# 2
Compound: ZnSbMo2
Source: Alexandria via LeMat-Bulk
Functional: PBE-GGA
Structure: optimized geometry

Geometry as POSCAR:
```
ZnSbMo2
1.0
-1.9558 1.9558 9.7056
1.9558 -1.9558 9.7056
1.9558 1.9558 -9.7056
Zn Sb Mo
2 2 4
direct
0.0000 0.0000 0.0000 Zn
0.7500 0.2500 0.5000 Zn
0.2500 0.7500 0.5000 Sb
0.5000 0.5000 0.0000 Sb
0.0786 0.6250 0.9536 Mo
0.3750 0.3286 0.4536 Mo
0.6714 0.1250 0.0464 Mo
0.8750 0.9214 0.5464 Mo
```

symmetry: I-42d
distance to the lowest polymorph of the same formula: 352.4 meV/atom
crystal system: tetragonal
energy relative to the elements, uncorrected: 1.88 eV per formula unit


# 3
Compound: Sc3IrSe
Source: Alexandria via LeMat-Bulk
Functional: PBE-GGA
Structure: optimized geometry

Geometry as POSCAR:
```
Sc3IrSe
1.0
5.0422 0.0000 0.0000
0.0000 5.0422 0.0000
0.0000 0.0000 5.0422
Sc Ir Se
3 1 1
direct
0.0000 0.0000 0.5000 Sc
0.0000 0.5000 0.0000 Sc
0.5000 0.0000 0.0000 Sc
0.0000 0.0000 0.0000 Ir
0.5000 0.5000 0.5000 Se
```

symmetry: Pm-3m
distance to the lowest polymorph of the same formula: 0.0 meV/atom
crystal system: cubic
energy relative to the elements, uncorrected: -2.36 eV per formula unit


# 4
Compound: RePbAu
Source: Alexandria via LeMat-Bulk
Functional: PBE-GGA
Structure: optimized geometry

Geometry as POSCAR:
```
RePbAu
1.0
-1.4248 2.1865 5.1160
1.4248 -2.1865 5.1160
1.4248 2.1865 -5.1160
Re Pb Au
1 1 1
direct
0.0000 0.0000 0.0000 Re
0.2941 0.2941 0.0000 Pb
0.5860 0.5860 0.0000 Au
```

symmetry: Imm2
distance to the lowest polymorph of the same formula: 80.8 meV/atom
crystal system: orthorhombic
formation energy: 2.78 eV per formula unit


# 5
Compound: LaCr3Ir
Source: Alexandria via LeMat-Bulk
Functional: PBE-GGA
Structure: optimized geometry

Geometry as POSCAR:
```
LaCr3Ir
1.0
4.3850 0.0000 0.0000
0.0000 4.3850 0.0000
0.0000 0.0000 4.3850
La Cr Ir
1 3 1
direct
0.0000 0.0000 0.0000 La
0.0000 0.0000 0.5000 Cr
0.0000 0.5000 0.0000 Cr
0.5000 0.0000 0.0000 Cr
0.5000 0.5000 0.5000 Ir
```

symmetry: Pm-3m
distance to the lowest polymorph of the same formula: 1382.3 meV/atom
crystal system: cubic
formation energy: 10.34 eV per formula unit


# 6
Compound: NaFeP2S
Source: Alexandria via LeMat-Bulk
Functional: PBE-GGA
Structure: optimized geometry

Geometry as POSCAR:
```
NaFeP2S
1.0
4.7610 0.0000 0.0000
0.0000 4.7610 0.0000
0.0000 0.0000 4.6739
Na Fe P S
1 1 2 1
direct
0.0000 0.0000 0.0000 Na
0.5000 0.5000 0.5000 Fe
0.0000 0.5000 0.0000 P
0.5000 0.0000 0.0000 P
0.0000 0.0000 0.5000 S
```

symmetry: P4/mmm
distance to the lowest polymorph of the same formula: 1825.7 meV/atom
crystal system: tetragonal
energy relative to the elements, uncorrected: 9.44 eV per formula unit


# 7
Compound: LiCo2Hg
Source: Alexandria via LeMat-Bulk
Functional: PBE-GGA
Structure: optimized geometry

Geometry as POSCAR:
```
LiCo2Hg
1.0
1.5751 -2.1597 0.0000
1.5751 2.1597 0.0000
0.0000 0.0000 8.7831
Li Co Hg
1 2 1
direct
0.0000 0.0000 0.0000 Li
0.5000 0.5000 0.2371 Co
0.5000 0.5000 0.7629 Co
0.0000 0.0000 0.5000 Hg
```

symmetry: Cmmm
crystal system: orthorhombic
formation energy: 2.12 eV per formula unit


# 8
Compound: CuRh2W
Source: Alexandria via LeMat-Bulk
Functional: PBE-GGA
Structure: optimized geometry

Geometry as POSCAR:
```
CuRh2W
1.0
1.3734 0.7929 8.8530
-1.3734 0.7929 8.8530
0.0000 -1.5859 8.8530
Cu Rh W
1 2 1
direct
0.0000 0.0000 0.0000 Cu
0.2530 0.2530 0.2530 Rh
0.4993 0.4993 0.4993 Rh
0.7512 0.7512 0.7512 W
```

symmetry: R3m
distance to the lowest polymorph of the same formula: 257.0 meV/atom
crystal system: trigonal
formation energy: 0.44 eV per formula unit


# 9
Compound: CuTc5
Source: Alexandria via LeMat-Bulk
Functional: PBE-GGA
Structure: optimized geometry

Geometry as POSCAR:
```
CuTc5
1.0
1.9412 -5.6340 0.0000
1.9412 5.6340 0.0000
0.0000 0.0000 3.8945
Cu Tc
1 5
direct
0.0000 0.0000 0.0000 Cu
0.1654 0.8346 0.5000 Tc
0.3321 0.6679 0.0000 Tc
0.5000 0.5000 0.5000 Tc
0.6679 0.3321 0.0000 Tc
0.8346 0.1654 0.5000 Tc
```

symmetry: Cmmm
distance to the lowest polymorph of the same formula: 56.2 meV/atom
crystal system: orthorhombic
formation energy: 0.77 eV per formula unit


# 10
Compound: Pm2RhAu
Source: Alexandria via LeMat-Bulk
Functional: PBE-GGA
Structure: optimized geometry

Geometry as POSCAR:
```
Pm2RhAu
1.0
3.6124 0.0000 0.0000
0.0000 3.6124 0.0000
0.0000 0.0000 7.1936
Pm Rh Au
2 1 1
direct
0.0000 0.0000 0.2357 Pm
0.0000 0.0000 0.7643 Pm
0.5000 0.5000 0.0000 Rh
0.5000 0.5000 0.5000 Au
```

symmetry: P4/mmm
crystal system: tetragonal
formation energy: -2.96 eV per formula unit


# 11
Compound: MgCu2Ge2
Source: Alexandria via LeMat-Bulk
Functional: PBE-GGA
Structure: optimized geometry

Geometry as POSCAR:
```
MgCu2Ge2
1.0
7.3702 0.0000 0.0000
0.0000 7.3702 0.0000
0.0000 0.0000 3.0358
Mg Cu Ge
2 4 4
direct
0.0000 0.0000 0.0000 Mg
0.5000 0.5000 0.0000 Mg
0.1328 0.3672 0.5000 Cu
0.3672 0.8672 0.5000 Cu
0.6328 0.1328 0.5000 Cu
0.8672 0.6328 0.5000 Cu
0.1589 0.6589 0.0000 Ge
0.3411 0.1589 0.0000 Ge
0.6589 0.8411 0.0000 Ge
0.8411 0.3411 0.0000 Ge
```

symmetry: P4/mbm
crystal system: tetragonal
formation energy: 0.58 eV per formula unit


# 12
Compound: Er2Ni9Sn
Source: Alexandria via LeMat-Bulk
Functional: PBE-GGA
Structure: optimized geometry

Geometry as POSCAR:
```
Er2Ni9Sn
1.0
2.4471 1.4128 8.1068
-2.4471 1.4128 8.1068
0.0000 -2.8256 8.1068
Er Ni Sn
2 9 1
direct
0.1369 0.1369 0.1369 Er
0.8631 0.8631 0.8631 Er
0.0816 0.5842 0.5842 Ni
0.3333 0.3333 0.3333 Ni
0.4158 0.4158 0.9184 Ni
0.4158 0.9184 0.4158 Ni
0.5000 0.5000 0.5000 Ni
0.5842 0.0816 0.5842 Ni
0.5842 0.5842 0.0816 Ni
0.6667 0.6667 0.6667 Ni
0.9184 0.4158 0.4158 Ni
0.0000 0.0000 0.0000 Sn
```

symmetry: R-3m
crystal system: trigonal
formation energy: -3.27 eV per formula unit


# 13
Compound: NbVZnW2
Source: Alexandria via LeMat-Bulk
Functional: PBE-GGA
Structure: optimized geometry

Geometry as POSCAR:
```
NbVZnW2
1.0
4.6419 0.0000 0.0000
0.0000 4.6419 0.0000
0.0000 0.0000 4.2197
Nb V Zn W
1 1 1 2
direct
0.0000 0.0000 0.0000 Nb
0.5000 0.5000 0.0000 V
0.5000 0.5000 0.5000 Zn
0.0000 0.5000 0.5000 W
0.5000 0.0000 0.5000 W
```

symmetry: P4/mmm
crystal system: tetragonal
formation energy: 7.82 eV per formula unit


# 14
Compound: FeBi
Source: Alexandria via LeMat-Bulk
Functional: PBE-GGA
Structure: optimized geometry

Geometry as POSCAR:
```
FeBi
1.0
-3.9528 3.9528 3.9528
3.9528 -3.9528 3.9528
3.9528 3.9528 -3.9528
Fe Bi
4 4
direct
0.0000 0.0000 0.7844 Fe
0.0000 0.7844 0.0000 Fe
0.2156 0.2156 0.2156 Fe
0.7844 0.0000 0.0000 Fe
0.0000 0.0000 0.4034 Bi
0.0000 0.4034 0.0000 Bi
0.4034 0.0000 0.0000 Bi
0.5966 0.5966 0.5966 Bi
```

symmetry: I-43m
crystal system: cubic
formation energy: 1.00 eV per formula unit


# 15
Compound: PrEr2Rh
Source: Alexandria via LeMat-Bulk
Functional: PBE-GGA
Structure: optimized geometry

Geometry as POSCAR:
```
PrEr2Rh
1.0
1.8981 1.0959 9.3590
-1.8981 1.0959 9.3590
0.0000 -2.1917 9.3590
Pr Er Rh
1 2 1
direct
0.0000 0.0000 0.0000 Pr
0.2245 0.2245 0.2245 Er
0.7755 0.7755 0.7755 Er
0.5000 0.5000 0.5000 Rh
```

symmetry: R-3m
distance to the lowest polymorph of the same formula: 135.3 meV/atom
crystal system: trigonal
formation energy: -1.48 eV per formula unit


# 16
Compound: Ce3Dy2ThTe6
Source: Alexandria via LeMat-Bulk
Functional: PBE-GGA
Structure: optimized geometry

Geometry as POSCAR:
```
Ce3Dy2ThTe6
1.0
9.6778 -2.2032 0.0000
9.6778 2.2032 0.0000
-2.0574 0.0000 8.7086
Ce Dy Th Te
3 2 1 6
direct
0.0000 0.0000 0.0000 Ce
0.3369 0.3369 0.6660 Ce
0.6631 0.6631 0.3340 Ce
0.3339 0.3339 0.1675 Dy
0.6661 0.6661 0.8325 Dy
0.0000 0.0000 0.5000 Th
0.1690 0.1690 0.5934 Te
0.1696 0.1696 0.0781 Te
0.4957 0.4957 0.2457 Te
0.5043 0.5043 0.7543 Te
0.8304 0.8304 0.9219 Te
0.8310 0.8310 0.4066 Te
```

symmetry: C2/m
crystal system: monoclinic
energy relative to the elements, uncorrected: -15.42 eV per formula unit


# 17
Compound: Li2CeZn6
Source: Alexandria via LeMat-Bulk
Functional: PBE-GGA
Structure: optimized geometry

Geometry as POSCAR:
```
Li2CeZn6
1.0
7.9535 0.0000 0.0000
-3.9767 6.8879 0.0000
0.0000 0.0000 2.9054
Li Ce Zn
2 1 6
direct
0.3333 0.6667 0.0000 Li
0.6667 0.3333 0.0000 Li
0.0000 0.0000 0.0000 Ce
0.0000 0.3433 0.5000 Zn
0.0000 0.6567 0.5000 Zn
0.3433 0.0000 0.5000 Zn
0.3433 0.3433 0.5000 Zn
0.6567 0.0000 0.5000 Zn
0.6567 0.6567 0.5000 Zn
```

symmetry: P6/mmm
crystal system: hexagonal
formation energy: -1.32 eV per formula unit


# 18
Compound: Pt2RhS
Source: Alexandria via LeMat-Bulk
Functional: PBE-GGA
Structure: optimized geometry

Geometry as POSCAR:
```
Pt2RhS
1.0
-2.3515 2.3515 7.0057
2.3515 -2.3515 7.0057
2.3515 2.3515 -7.0057
Pt Rh S
4 2 2
direct
0.0582 0.6250 0.9332 Pt
0.3750 0.3082 0.4332 Pt
0.6918 0.1250 0.0668 Pt
0.8750 0.9418 0.5668 Pt
0.2500 0.7500 0.5000 Rh
0.5000 0.5000 0.0000 Rh
0.0000 0.0000 0.0000 S
0.7500 0.2500 0.5000 S
```

symmetry: I-42d
crystal system: tetragonal
energy relative to the elements, uncorrected: 1.93 eV per formula unit


# 19
Compound: SbOsW2
Source: Alexandria via LeMat-Bulk
Functional: PBE-GGA
Structure: optimized geometry

Geometry as POSCAR:
```
SbOsW2
1.0
0.0000 3.2198 3.2198
3.2198 0.0000 3.2198
3.2198 3.2198 0.0000
Sb Os W
1 1 2
direct
0.0000 0.0000 0.0000 Sb
0.7500 0.7500 0.7500 Os
0.2500 0.2500 0.2500 W
0.5000 0.5000 0.5000 W
```

symmetry: F-43m
crystal system: cubic
energy relative to the elements, uncorrected: 2.44 eV per formula unit


# 20
Compound: ScAsPt
Source: Alexandria via LeMat-Bulk
Functional: PBE-GGA
Structure: optimized geometry

Geometry as POSCAR:
```
ScAsPt
1.0
-1.8494 1.8494 4.0248
1.8494 -1.8494 4.0248
1.8494 1.8494 -4.0248
Sc As Pt
1 1 1
direct
0.0000 0.0000 0.0000 Sc
0.6699 0.6699 0.0000 As
0.3530 0.3530 0.0000 Pt
```

symmetry: I4mm
crystal system: tetragonal
formation energy: -2.36 eV per formula unit


# 21
Compound: SiIN2O
Source: Alexandria via LeMat-Bulk
Functional: PBE-GGA
Structure: optimized geometry

Geometry as POSCAR:
```
SiIN2O
1.0
3.8865 0.0000 0.0000
0.0000 3.8865 0.0000
0.0000 0.0000 3.4404
Si I N O
1 1 2 1
direct
0.0000 0.0000 0.0000 Si
0.5000 0.5000 0.5000 I
0.0000 0.5000 0.0000 N
0.5000 0.0000 0.0000 N
0.0000 0.0000 0.5000 O
```

symmetry: P4/mmm
crystal system: tetragonal
energy relative to the elements, uncorrected: 1.80 eV per formula unit